1.
First-principles (PBE) data for YSnIrO6 after structural relaxation, as listed in Alexandria.

Lattice parameters (Å, degrees): 5.3899 5.3899 8.9947 90.00 90.00 120.00
Sites, in units of the cell vectors:
O (0.0358, 0.6819, 0.8766)
O (0.6462, 0.9642, 0.8766)
O (0.6462, 0.6819, 0.6234)
O (0.3538, 0.0358, 0.1234)
Sn (0.0000, 0.0000, 0.0000)
Sn (0.0000, 0.0000, 0.5000)
Y (0.3333, 0.6667, 0.2500)
Ir (0.6667, 0.3333, 0.2500)
O (0.6819, 0.0358, 0.3766)
O (0.3538, 0.3181, 0.3766)
Y (0.6667, 0.3333, 0.7500)
O (0.6819, 0.6462, 0.1234)
O (0.9642, 0.3181, 0.1234)
O (0.3181, 0.3538, 0.8766)
O (0.3181, 0.9642, 0.6234)
O (0.9642, 0.6462, 0.3766)
Ir (0.3333, 0.6667, 0.7500)
O (0.0358, 0.3538, 0.6234)

Calculated values
Calculated volume in Å³ per cell: 226
Space group: P-31c

---

2.
First-principles (PBE) data for Zn2SnIrO6 after structural relaxation, as listed in Alexandria.

Lattice parameters (Å, degrees): 5.3354 5.3396 9.4543 55.70 90.00 90.00
Sites, in units of the cell vectors:
O (0.8246, 0.7303, 0.4325)
O (0.5940, 0.3781, 0.7431)
O (0.1667, 0.8934, 0.9307)
Zn (0.4706, 0.7386, 0.7503)
O (0.6754, 0.7303, 0.9325)
Zn (0.0294, 0.7386, 0.2503)
Sn (0.0000, 0.0000, 0.5000)
Zn (0.9706, 0.2614, 0.7497)
O (0.8333, 0.1066, 0.0693)
O (0.9060, 0.3781, 0.2431)
Ir (0.5000, 0.5000, 0.5000)
O (0.0940, 0.6219, 0.7569)
O (0.3246, 0.2697, 0.0675)
Ir (0.0000, 0.5000, 0.0000)
O (0.1754, 0.2697, 0.5675)
Sn (0.5000, 0.0000, 0.0000)
O (0.3333, 0.8934, 0.4307)
O (0.6667, 0.1066, 0.5693)
Zn (0.5294, 0.2614, 0.2497)
O (0.4060, 0.6219, 0.2569)

Calculated values
Calculated volume in Å³ per cell: 222
Space group: P2_1/c

---

3.
First-principles (PBE) data for ZrSnIrO6 after structural relaxation, as listed in Alexandria.

Lattice parameters (Å, degrees): 5.2000 5.2000 9.3735 90.00 90.00 120.00
Sites, in units of the cell vectors:
O (0.3429, 0.0123, 0.1265)
O (0.6571, 0.6694, 0.6265)
O (0.6694, 0.6571, 0.1265)
Zr (0.3333, 0.6667, 0.2500)
O (0.0123, 0.6694, 0.8735)
O (0.3429, 0.3306, 0.3735)
Ir (0.6667, 0.3333, 0.2500)
O (0.0123, 0.3429, 0.6265)
Ir (0.3333, 0.6667, 0.7500)
Zr (0.6667, 0.3333, 0.7500)
Sn (0.0000, 0.0000, 0.0000)
O (0.3306, 0.9877, 0.6265)
Sn (0.0000, 0.0000, 0.5000)
O (0.3306, 0.3429, 0.8735)
O (0.9877, 0.6571, 0.3735)
O (0.6571, 0.9877, 0.8735)
O (0.9877, 0.3306, 0.1265)
O (0.6694, 0.0123, 0.3735)

Calculated values
Calculated volume in Å³ per cell: 220
Space group: P-31c

---

4.
First-principles (PBE) data for Sr3IrO6 after structural relaxation, as listed in Alexandria.

Lattice parameters (Å, degrees): 6.9010 6.9010 6.9010 92.02 92.02 92.02
Sites, in units of the cell vectors:
O (0.9423, 0.0674, 0.2723)
Sr (0.5651, 0.0675, 0.2549)
O (0.0577, 0.9326, 0.7277)
Sr (0.9325, 0.7451, 0.4349)
O (0.0674, 0.2723, 0.9423)
Sr (0.0675, 0.2549, 0.5651)
O (0.4524, 0.5728, 0.7723)
O (0.2723, 0.9423, 0.0674)
O (0.5728, 0.7723, 0.4524)
Sr (0.2549, 0.5651, 0.0675)
Ir (0.5000, 0.5000, 0.5000)
O (0.7723, 0.4524, 0.5728)
O (0.7277, 0.0577, 0.9326)
O (0.4272, 0.2277, 0.5476)
Sr (0.7451, 0.4349, 0.9325)
Sr (0.4349, 0.9325, 0.7451)
O (0.2277, 0.5476, 0.4272)
O (0.5476, 0.4272, 0.2277)
Ir (0.0000, 0.0000, 0.0000)
O (0.9326, 0.7277, 0.0577)

Calculated values
Calculated volume in Å³ per cell: 328
Space group: R-3

---

5.
First-principles (PBE) data for SrIrO3 after structural relaxation, as listed in Alexandria.

Lattice parameters (Å, degrees): 5.1176 5.5981 5.5981 120.00 90.00 90.00
Sites, in units of the cell vectors:
O (0.7500, 0.1645, 0.3290)
O (0.7500, 0.1645, 0.8355)
Sr (0.2500, 0.3334, 0.6666)
Ir (0.5000, 0.0000, 0.0000)
O (0.2500, 0.8355, 0.1645)
O (0.2500, 0.3290, 0.1645)
O (0.7500, 0.6710, 0.8355)
Sr (0.7500, 0.6666, 0.3334)
Ir (0.0000, 0.0000, 0.0000)
O (0.2500, 0.8355, 0.6710)

Calculated values
Calculated volume in Å³ per cell: 139
Space group: P6_3/mmc

---

6.
First-principles (PBE) data for SrIrO2 after structural relaxation, as listed in Alexandria.

Lattice parameters (Å, degrees): 6.5493 6.5493 6.5493 30.17 30.17 30.17
Sites, in units of the cell vectors:
Sr (0.0000, 0.0000, 0.0000)
O (0.8745, 0.8745, 0.8745)
O (0.1255, 0.1255, 0.1255)
Ir (0.5000, 0.5000, 0.5000)

Calculated values
Calculated volume in Å³ per cell: 63
Space group: R-3m

---

7.
First-principles (PBE) data for Sr5Ir6O18 after structural relaxation, as listed in Alexandria.

Lattice parameters (Å, degrees): 8.1453 8.1453 8.1453 109.47 109.47 109.47
Sites, in units of the cell vectors:
Ir (0.5000, 0.1552, 0.6552)
Ir (0.3448, 0.5000, 0.8448)
Sr (0.0000, 0.0000, 0.0000)
Ir (0.5000, 0.8448, 0.3448)
O (0.2889, 0.6246, 0.3357)
O (0.9533, 0.6643, 0.2889)
Sr (0.0000, 0.0000, 0.5000)
O (0.0000, 0.3470, 0.3470)
O (0.0000, 0.6530, 0.6530)
Sr (0.5000, 0.0000, 0.0000)
Sr (0.5000, 0.5000, 0.5000)
Ir (0.8448, 0.3448, 0.5000)
O (0.3357, 0.7111, 0.0467)
O (0.3470, 0.0000, 0.3470)
O (0.6246, 0.3357, 0.2889)
O (0.3357, 0.2889, 0.6246)
O (0.0467, 0.3357, 0.7111)
O (0.6643, 0.2889, 0.9533)
Ir (0.6552, 0.5000, 0.1552)
O (0.7111, 0.0467, 0.3357)
O (0.7111, 0.3754, 0.6643)
O (0.6643, 0.7111, 0.3754)
O (0.2889, 0.9533, 0.6643)
O (0.6530, 0.0000, 0.6530)
Sr (0.0000, 0.5000, 0.0000)
O (0.3754, 0.6643, 0.7111)
O (0.6530, 0.6530, 0.0000)
Ir (0.1552, 0.6552, 0.5000)
O (0.3470, 0.3470, 0.0000)

Calculated values
Calculated volume in Å³ per cell: 416
Space group: Im-3

---

8.
First-principles (PBE) data for SrIrO3 after structural relaxation, as listed in Alexandria.

Lattice parameters (Å, degrees): 4.4169 4.4169 4.4169 90.00 90.00 90.00
Sites, in units of the cell vectors:
Sr (0.0000, 0.0000, 0.0000)
Ir (0.5000, 0.5000, 0.5000)
O (0.5000, 0.0000, 0.0000)
O (0.0000, 0.0000, 0.5000)
O (0.0000, 0.5000, 0.0000)

Calculated values
Calculated volume in Å³ per cell: 86
Space group: Pm-3m

---

Number 1: E_form (uncorrected) -1.64 eV/atom. Number 2: E_form (uncorrected) -1.15 eV/atom. Number 3: E_form (uncorrected) -1.75 eV/atom. Number 4: E_form (uncorrected) -2.06 eV/atom. Number 5: E_form (uncorrected) -1.54 eV/atom. Number 6: E_form (uncorrected) -0.70 eV/atom. Number 7: E_form (uncorrected) -1.41 eV/atom. Number 8: E_form (uncorrected) 0.75 eV/atom.